1.
The following is a PBE calculation of Na4HoHf3S8 after structural relaxation, from Alexandria.

Cell: 7.4464 7.4464 20.3233 Å, 90.00 90.00 120.00°
Last column: nearest neighbours and their distance in Å.
Space group R-3m (No. 166, hexagonal axes)
Unique sites:
Na1 0.0000 0.0000 0.0000  6 S 2.79
Na2 0.0000 0.5000 0.0000  6 S 2.87-2.88
Ho1 0.0000 0.0000 0.5000  6 S 2.69
Hf1 0.0000 0.5000 0.5000  6 S 2.60-2.61
S1 0.0000 0.0000 0.2398  3 Hf 2.61, 3 Na 2.87
S2 0.0118 0.5059 0.7586  2 Hf 2.60, 1 Ho 2.69, 3 Na 2.79-2.88

## Properties
Calculated total energy (eV/atom): -6.08
Uncorrected formation energy (kJ per mole of atoms): -148.34

***

2.
The following is a PBE calculation of Na4Ho3HfS8 after structural relaxation, from Alexandria.

Cell: 7.7689 7.7689 20.0992 Å, 90.00 90.00 120.00°
Last column: nearest neighbours and their distance in Å.
Space group R-3m (No. 166, hexagonal axes)
Unique sites:
Na1 0.0000 0.0000 0.0000  6 S 2.99
Na2 0.0000 0.5000 0.0000  6 S 2.87-2.88
Ho1 0.0000 0.5000 0.5000  6 S 2.72-2.74
Hf1 0.0000 0.0000 0.5000  6 S 2.62
S1 0.0000 0.0000 0.2434  3 Ho 2.72, 3 Na 2.88
S2 0.0145 0.5073 0.2411  1 Hf 2.62, 2 Ho 2.74, 2 Na 2.87

## Properties
Calculated total energy (eV/atom): -5.61
Uncorrected formation energy (kJ per mole of atoms): -167.16

***

3.
The following is a PBE calculation of Na2HoHf2S6 after structural relaxation, from Alexandria.

Cell: 6.4536 11.2688 7.1616 Å, 90.00 107.17 90.00°
Last column: nearest neighbours and their distance in Å.
Space group C2/m (No. 12)
Unique sites:
Na1 0.0000 0.1631 0.0000  6 S 2.86-2.92
Ho1 0.0000 0.0000 0.5000  6 S 2.71
Hf1 0.0000 0.3337 0.5000  6 S 2.58
S1 0.2209 0.5000 0.7183  2 Hf 2.58, 1 Ho 2.71
S2 0.2445 0.1752 0.7174  2 Hf 2.58, 1 Ho 2.71, 1 Na 2.86

## Properties
Calculated total energy (eV/atom): -6.36
Uncorrected formation energy (kJ per mole of atoms): -158.09